# 1
First-principles (GGA-PBE) data for an optimized crystal structure of Cd4As2I3, as listed in Alexandria via LeMat-Bulk.

Unit cell a=13.278 b=13.278 c=13.278 alpha=90.00 beta=90.00 gamma=90.00
Fractional coordinates of all 72 atoms:
Cd (0.036, 0.999, 0.255)
Cd (0.255, 0.036, 0.999)
Cd (0.999, 0.255, 0.036)
Cd (0.501, 0.745, 0.536)
Cd (0.755, 0.464, 0.001)
Cd (0.001, 0.755, 0.464)
Cd (0.245, 0.964, 0.499)
Cd (0.745, 0.536, 0.501)
Cd (0.499, 0.245, 0.964)
Cd (0.536, 0.501, 0.745)
Cd (0.964, 0.499, 0.245)
Cd (0.464, 0.001, 0.755)
Cd (0.964, 0.001, 0.745)
Cd (0.745, 0.964, 0.001)
Cd (0.001, 0.745, 0.964)
Cd (0.499, 0.255, 0.464)
Cd (0.245, 0.536, 0.999)
Cd (0.999, 0.245, 0.536)
Cd (0.755, 0.036, 0.501)
Cd (0.255, 0.464, 0.499)
Cd (0.501, 0.755, 0.036)
Cd (0.464, 0.499, 0.255)
Cd (0.036, 0.501, 0.755)
Cd (0.536, 0.999, 0.245)
Cd (0.222, 0.222, 0.222)
Cd (0.278, 0.778, 0.722)
Cd (0.722, 0.278, 0.778)
Cd (0.778, 0.722, 0.278)
Cd (0.778, 0.778, 0.778)
Cd (0.722, 0.222, 0.278)
Cd (0.278, 0.722, 0.222)
Cd (0.222, 0.278, 0.722)
As (0.109, 0.109, 0.109)
As (0.391, 0.891, 0.609)
As (0.609, 0.391, 0.891)
As (0.891, 0.609, 0.391)
As (0.891, 0.891, 0.891)
As (0.609, 0.109, 0.391)
As (0.391, 0.609, 0.109)
As (0.109, 0.391, 0.609)
As (0.447, 0.447, 0.447)
As (0.053, 0.553, 0.947)
As (0.947, 0.053, 0.553)
As (0.553, 0.947, 0.053)
As (0.553, 0.553, 0.553)
As (0.947, 0.447, 0.053)
As (0.053, 0.947, 0.447)
As (0.447, 0.053, 0.947)
I (0.186, 0.439, 0.263)
I (0.263, 0.186, 0.439)
I (0.439, 0.263, 0.186)
I (0.061, 0.737, 0.686)
I (0.763, 0.314, 0.561)
I (0.561, 0.763, 0.314)
I (0.237, 0.814, 0.939)
I (0.737, 0.686, 0.061)
I (0.939, 0.237, 0.814)
I (0.686, 0.061, 0.737)
I (0.814, 0.939, 0.237)
I (0.314, 0.561, 0.763)
I (0.814, 0.561, 0.737)
I (0.737, 0.814, 0.561)
I (0.561, 0.737, 0.814)
I (0.939, 0.263, 0.314)
I (0.237, 0.686, 0.439)
I (0.439, 0.237, 0.686)
I (0.763, 0.186, 0.061)
I (0.263, 0.314, 0.939)
I (0.061, 0.763, 0.186)
I (0.314, 0.939, 0.263)
I (0.186, 0.061, 0.763)
I (0.686, 0.439, 0.237)

Calculated values
E_tot = -2.3095 eV per atom
calculated density = 5.56 Mg/m³
magnetic moment = 0.0 μB/cell


# 2
First-principles (GGA-PBE) data for an optimized crystal structure of LiGdZnRh, as listed in Alexandria via LeMat-Bulk.

Unit cell a=4.657 b=4.657 c=4.657 alpha=60.00 beta=60.00 gamma=60.00
Fractional coordinates of all 4 atoms:
Zn (0.000, 0.000, 0.000)
Gd (0.500, 0.500, 0.500)
Rh (0.750, 0.750, 0.750)
Li (0.250, 0.250, 0.250)

Calculated values
N(E_F) = 2.2 states/eV/f.u.
energy of formation from the pure elements = -0.416 eV/atom
calculated density = 7.73 Mg/m³
magnetic moment = 7.2 μB/cell


# 3
First-principles (GGA-PBE) data for an optimized crystal structure of RbBaSeBr2, as listed in Alexandria via LeMat-Bulk.

Unit cell a=6.332 b=6.332 c=6.352 alpha=90.00 beta=90.00 gamma=90.00
Fractional coordinates of all 5 atoms:
Br (0.000, 0.500, 0.000)
Br (0.500, 0.000, 0.000)
Se (0.000, 0.000, 0.500)
Ba (0.000, 0.000, 0.000)
Rb (0.500, 0.500, 0.500)

Calculated values
energy above the most stable polymorph in this dataset = 0 meV per atom
N(E_F) = 7.8 states/eV/f.u.
calculated density = 3.01 Mg/m³
magnetic moment = 1.0 μB/cell


# 4
First-principles (GGA-PBE) data for an optimized crystal structure of MgCoPb2, as listed in Alexandria via LeMat-Bulk.

Unit cell a=4.502 b=3.690 c=5.642 alpha=70.70 beta=90.00 gamma=90.00
Fractional coordinates of all 4 atoms:
Co (0.000, 0.694, 0.489)
Mg (0.500, 0.555, 0.763)
Pb (0.000, 0.974, 0.922)
Pb (0.500, 0.278, 0.325)

Calculated values
N(E_F) = 2.7 states/eV/f.u.
energy of formation from the pure elements = 0.279 eV/atom
calculated density = 9.34 Mg/m³
magnetic moment = 1.2 μB/cell


# 5
First-principles (GGA-PBE) data for an optimized crystal structure of RbFe2ReBr, as listed in Alexandria via LeMat-Bulk.

Unit cell a=4.438 b=5.557 c=4.438 alpha=90.00 beta=90.00 gamma=90.00
Fractional coordinates of all 5 atoms:
Re (0.500, 0.500, 0.500)
Br (0.000, 0.000, 0.000)
Rb (0.000, 0.500, 0.000)
Fe (0.000, 0.000, 0.500)
Fe (0.500, 0.000, 0.000)

Calculated values
E_tot = -3.9206 eV per atom
N(E_F) = 12.7 states/eV/f.u.
calculated density = 7.03 Mg/m³
magnetic moment = 0.0 μB/cell


# 6
First-principles (GGA-PBE) data for an optimized crystal structure of LiHg2TeS4, as listed in Alexandria via LeMat-Bulk.

Unit cell a=7.988 b=7.988 c=8.413 alpha=117.03 beta=117.03 gamma=98.73
Fractional coordinates of all 16 atoms:
Li (0.000, 0.500, 0.000)
Li (0.000, 0.500, 0.500)
Hg (0.500, 0.000, 0.000)
Hg (0.500, 0.000, 0.500)
Hg (0.000, 0.000, 0.500)
Hg (0.500, 0.500, 0.000)
Te (0.500, 0.500, 0.500)
Te (0.000, 0.000, 0.000)
S (0.209, 0.777, 0.942)
S (0.723, 0.291, 0.558)
S (0.277, 0.709, 0.442)
S (0.791, 0.223, 0.058)
S (0.862, 0.782, 0.110)
S (0.718, 0.638, 0.390)
S (0.282, 0.362, 0.610)
S (0.138, 0.218, 0.890)

Calculated values
E_tot = -2.9861 eV per atom
N(E_F) = 2.8 states/eV/f.u.
calculated density = 5.80 Mg/m³
magnetic moment = 0.0 μB/cell


# 7
First-principles (GGA-PBE) data for an optimized crystal structure of Be2Nb2S, as listed in Alexandria via LeMat-Bulk.

Unit cell a=6.170 b=6.170 c=3.437 alpha=90.00 beta=90.00 gamma=90.00
Fractional coordinates of all 10 atoms:
Be (0.385, 0.885, 0.000)
Be (0.885, 0.615, 0.000)
Be (0.615, 0.115, 0.000)
Be (0.115, 0.385, 0.000)
Nb (0.183, 0.683, 0.500)
Nb (0.683, 0.817, 0.500)
Nb (0.817, 0.317, 0.500)
Nb (0.317, 0.183, 0.500)
S (0.000, 0.000, 0.000)
S (0.500, 0.500, 0.000)

Calculated values
energy above the most stable polymorph in this dataset = 0 meV per atom
N(E_F) = 5.8 states/eV/f.u.
calculated density = 5.99 Mg/m³
magnetic moment = 0.0 μB/cell


# 8
First-principles (GGA-PBE) data for an optimized crystal structure of Th4TlZn, as listed in Alexandria via LeMat-Bulk.

Unit cell a=5.834 b=7.746 c=7.746 alpha=90.00 beta=90.00 gamma=90.00
Fractional coordinates of all 12 atoms:
Th (0.000, 0.164, 0.647)
Th (0.000, 0.836, 0.353)
Th (0.000, 0.353, 0.164)
Th (0.000, 0.647, 0.836)
Th (0.500, 0.836, 0.647)
Th (0.500, 0.164, 0.353)
Th (0.500, 0.647, 0.164)
Th (0.500, 0.353, 0.836)
Tl (0.250, 0.000, 0.000)
Tl (0.750, 0.000, 0.000)
Zn (0.250, 0.500, 0.500)
Zn (0.750, 0.500, 0.500)

Calculated values
N(E_F) = 6.9 states/eV/f.u.
energy of formation from the pure elements = -0.089 eV/atom
calculated density = 11.36 Mg/m³
magnetic moment = 0.0 μB/cell


# 9
First-principles (GGA-PBE) data for an optimized crystal structure of PrEr9Sc2, as listed in Alexandria via LeMat-Bulk.

Unit cell a=3.458 b=10.991 c=10.991 alpha=120.00 beta=90.00 gamma=90.00
Fractional coordinates of all 12 atoms:
Pr (0.000, 0.000, 0.000)
Er (0.000, 0.000, 0.500)
Er (0.000, 0.500, 0.500)
Er (0.000, 0.500, 0.000)
Er (0.500, 0.362, 0.181)
Er (0.500, 0.181, 0.819)
Er (0.500, 0.181, 0.362)
Er (0.500, 0.819, 0.638)
Er (0.500, 0.819, 0.181)
Er (0.500, 0.638, 0.819)
Sc (0.000, 0.333, 0.667)
Sc (0.000, 0.667, 0.333)

Calculated values
energy above the most stable polymorph in this dataset = 0 meV per atom
N(E_F) = 15.6 states/eV/f.u.
energy of formation from the pure elements = 0.031 eV/atom
calculated density = 7.97 Mg/m³
magnetic moment = 0.0 μB/cell


# 10
First-principles (GGA-PBE) data for an optimized crystal structure of Gd2DyMn, as listed in Alexandria via LeMat-Bulk.

Unit cell a=4.639 b=4.857 c=4.857 alpha=90.00 beta=90.00 gamma=90.00
Fractional coordinates of all 4 atoms:
Gd (0.000, 0.000, 0.500)
Gd (0.000, 0.500, 0.000)
Mn (0.500, 0.000, 0.000)
Dy (0.500, 0.500, 0.500)

Calculated values
energy above the most stable polymorph in this dataset = 80 meV per atom
N(E_F) = 4.9 states/eV/f.u.
energy of formation from the pure elements = 0.196 eV/atom
calculated density = 8.07 Mg/m³
magnetic moment = 11.7 μB/cell


# 11
First-principles (GGA-PBE) data for an optimized crystal structure of Pm3Be, as listed in Alexandria via LeMat-Bulk.

Unit cell a=3.446 b=3.518 c=9.759 alpha=90.00 beta=90.00 gamma=90.00
Fractional coordinates of all 4 atoms:
Be (0.000, 0.000, 0.983)
Pm (0.000, 0.500, 0.467)
Pm (0.500, 0.500, 0.140)
Pm (0.500, 0.000, 0.743)

Calculated values
energy above the most stable polymorph in this dataset = 213 meV per atom
N(E_F) = 5.2 states/eV/f.u.
energy of formation from the pure elements = 0.360 eV/atom
calculated density = 6.23 Mg/m³
magnetic moment = 0.0 μB/cell


# 12
First-principles (GGA-PBE) data for an optimized crystal structure of CdGe3B, as listed in Alexandria via LeMat-Bulk.

Unit cell a=4.505 b=4.505 c=4.505 alpha=90.00 beta=90.00 gamma=90.00
Fractional coordinates of all 5 atoms:
Ge (0.000, 0.500, 0.000)
Ge (0.000, 0.000, 0.500)
Ge (0.500, 0.000, 0.000)
B (0.000, 0.000, 0.000)
Cd (0.500, 0.500, 0.500)

Calculated values
energy above the most stable polymorph in this dataset = 0 meV per atom
N(E_F) = 1.8 states/eV/f.u.
energy of formation from the pure elements = 0.614 eV/atom
calculated density = 6.20 Mg/m³
magnetic moment = 0.0 μB/cell


# 13
First-principles (GGA-PBE) data for an optimized crystal structure of RbNaLiCl3, as listed in Alexandria via LeMat-Bulk.

Unit cell a=4.189 b=8.860 c=9.542 alpha=105.77 beta=90.00 gamma=90.00
Fractional coordinates of all 12 atoms:
Rb (0.750, 0.799, 0.779)
Rb (0.250, 0.201, 0.221)
Na (0.250, 0.657, 0.136)
Na (0.750, 0.343, 0.864)
Li (0.250, 0.098, 0.607)
Li (0.750, 0.902, 0.393)
Cl (0.250, 0.823, 0.474)
Cl (0.750, 0.889, 0.148)
Cl (0.750, 0.459, 0.166)
Cl (0.750, 0.177, 0.526)
Cl (0.250, 0.541, 0.834)
Cl (0.250, 0.111, 0.852)

Calculated values
E_tot = -3.4597 eV per atom
N(E_F) = 0.0 states/eV/f.u.
calculated density = 2.16 Mg/m³
magnetic moment = 0.1 μB/cell


# 14
First-principles (GGA-PBE) data for an optimized crystal structure of SrMgSn2Cl8, as listed in Alexandria via LeMat-Bulk.

Unit cell a=6.623 b=6.406 c=8.458 alpha=90.04 beta=90.07 gamma=89.27
Fractional coordinates of all 12 atoms:
Sr (0.000, 0.000, 0.500)
Mg (0.000, 0.000, 0.000)
Sn (0.501, 0.501, 0.764)
Sn (0.499, 0.499, 0.236)
Cl (0.158, 0.783, 0.221)
Cl (0.692, 0.751, 0.998)
Cl (0.840, 0.215, 0.221)
Cl (0.842, 0.217, 0.779)
Cl (0.308, 0.249, 0.002)
Cl (0.160, 0.785, 0.779)
Cl (0.659, 0.723, 0.502)
Cl (0.341, 0.277, 0.498)

Calculated values
E_tot = -3.7176 eV per atom
N(E_F) = 0.0 states/eV/f.u.
calculated density = 2.93 Mg/m³
magnetic moment = 0.0 μB/cell


# 15
First-principles (GGA-PBE) data for an optimized crystal structure of Zn4Cu3Au, as listed in Alexandria via LeMat-Bulk.

Unit cell a=4.265 b=6.120 c=8.531 alpha=90.00 beta=90.00 gamma=90.00
Fractional coordinates of all 16 atoms:
Zn (0.500, 0.766, 0.000)
Zn (0.500, 0.766, 0.500)
Zn (0.500, 0.234, 0.000)
Zn (0.500, 0.234, 0.500)
Zn (0.007, 0.766, 0.750)
Zn (0.993, 0.766, 0.250)
Zn (0.993, 0.234, 0.250)
Zn (0.007, 0.234, 0.750)
Au (0.000, 0.500, 0.000)
Au (0.000, 0.500, 0.500)
Cu (0.000, 0.000, 0.000)
Cu (0.000, 0.000, 0.500)
Cu (0.508, 0.000, 0.750)
Cu (0.492, 0.000, 0.250)
Cu (0.506, 0.500, 0.750)
Cu (0.494, 0.500, 0.250)

Calculated values
energy above the most stable polymorph in this dataset = 0 meV per atom
N(E_F) = 2.3 states/eV/f.u.
energy of formation from the pure elements = -0.108 eV/atom
calculated density = 9.68 Mg/m³
magnetic moment = 0.0 μB/cell


# 16
First-principles (GGA-PBE) data for an optimized crystal structure of NaCr2N2, as listed in Alexandria via LeMat-Bulk.

Unit cell a=3.767 b=3.767 c=4.465 alpha=65.05 beta=65.05 gamma=90.00
Fractional coordinates of all 5 atoms:
Cr (0.354, 0.354, 0.292)
Cr (0.646, 0.646, 0.708)
N (0.750, 0.250, 0.500)
N (0.250, 0.750, 0.500)
Na (0.000, 0.000, 0.000)

Calculated values
E_tot = -7.4224 eV per atom
N(E_F) = 1.4 states/eV/f.u.
calculated density = 5.06 Mg/m³
magnetic moment = 1.0 μB/cell


# 17
First-principles (GGA-PBE) data for an optimized crystal structure of BaLiF2, as listed in Alexandria via LeMat-Bulk.

Unit cell a=7.316 b=7.316 c=7.316 alpha=29.05 beta=29.05 gamma=29.05
Fractional coordinates of all 4 atoms:
Li (0.500, 0.500, 0.500)
Ba (0.000, 0.000, 0.000)
F (0.883, 0.883, 0.883)
F (0.117, 0.117, 0.117)

Calculated values
energy above the most stable polymorph in this dataset = 419 meV per atom
N(E_F) = 1.4 states/eV/f.u.
calculated density = 3.70 Mg/m³
magnetic moment = 0.0 μB/cell


# 18
First-principles (GGA-PBE) data for an optimized crystal structure of Li2In2Si, as listed in Alexandria via LeMat-Bulk.

Unit cell a=6.660 b=6.660 c=4.346 alpha=90.00 beta=90.00 gamma=90.00
Fractional coordinates of all 10 atoms:
Si (0.000, 0.000, 0.000)
Si (0.500, 0.500, 0.000)
Li (0.355, 0.855, 0.000)
Li (0.855, 0.645, 0.000)
Li (0.645, 0.145, 0.000)
Li (0.145, 0.355, 0.000)
In (0.169, 0.669, 0.500)
In (0.669, 0.831, 0.500)
In (0.831, 0.331, 0.500)
In (0.331, 0.169, 0.500)

Calculated values
energy above the most stable polymorph in this dataset = 0 meV per atom
N(E_F) = 1.4 states/eV/f.u.
calculated density = 4.68 Mg/m³
magnetic moment = 0.0 μB/cell


# 19
First-principles (GGA-PBE) data for an optimized crystal structure of LaSnPS2, as listed in Alexandria via LeMat-Bulk.

Unit cell a=5.435 b=5.435 c=5.453 alpha=90.00 beta=90.00 gamma=90.00
Fractional coordinates of all 5 atoms:
P (0.000, 0.000, 0.500)
S (0.000, 0.500, 0.000)
S (0.500, 0.000, 0.000)
Sn (0.500, 0.500, 0.500)
La (0.000, 0.000, 0.000)

Calculated values
energy above the most stable polymorph in this dataset = 480 meV per atom
N(E_F) = 5.7 states/eV/f.u.
calculated density = 3.64 Mg/m³
magnetic moment = 0.5 μB/cell


# 20
First-principles (GGA-PBE) data for an optimized crystal structure of RbGeH, as listed in Alexandria via LeMat-Bulk.

Unit cell a=5.942 b=5.860 c=6.042 alpha=70.72 beta=97.06 gamma=71.06
Fractional coordinates of all 6 atoms:
H (0.933, 0.287, 0.198)
H (0.551, 0.806, 0.804)
Ge (0.116, 0.984, 0.377)
Ge (0.369, 0.109, 0.624)
Rb (0.742, 0.545, 0.503)
Rb (0.241, 0.548, 0.001)

Calculated values
energy above the most stable polymorph in this dataset = 106 meV per atom
calculated density = 2.91 Mg/m³
magnetic moment = 0.0 μB/cell


# 21
First-principles (GGA-PBE) data for an optimized crystal structure of RbCd2CuBi, as listed in Alexandria via LeMat-Bulk.

Unit cell a=5.242 b=5.242 c=5.469 alpha=90.00 beta=90.00 gamma=90.00
Fractional coordinates of all 5 atoms:
Cu (0.000, 0.000, 0.000)
Bi (0.000, 0.000, 0.500)
Rb (0.500, 0.500, 0.500)
Cd (0.000, 0.500, 0.000)
Cd (0.500, 0.000, 0.000)

Calculated values
N(E_F) = 3.6 states/eV/f.u.
energy of formation from the pure elements = 0.059 eV/atom
calculated density = 6.44 Mg/m³
magnetic moment = 0.0 μB/cell